A geometry-optimized Y12Hg3Ru5 structure, computed with PBE-GGA.

Values from the calculation:
ΔH_f (0 K) = 4.3 kJ/mol of atoms
symmetry = Ia-3d (230)

Structure (POSCAR):
```
Y12Hg3Ru5
1.0
-3.511 -1.017 -14.118
2.993 -13.279 5.234
-11.190 5.730 7.391
Y Hg Ru
48 12 20
direct
0.912 0.089 0.882
0.323 0.793 0.411
0.793 0.470 0.382
0.118 0.707 0.530
0.707 0.118 0.030
0.030 0.618 0.707
0.088 0.177 0.470
0.177 0.089 0.707
0.970 0.382 0.293
0.412 0.382 0.589
0.118 0.411 0.088
0.588 0.970 0.677
0.588 0.618 0.411
0.912 0.823 0.530
0.207 0.530 0.618
0.530 0.323 0.912
0.411 0.118 0.588
0.088 0.911 0.118
0.911 0.823 0.793
0.293 0.882 0.970
0.618 0.588 0.911
0.470 0.793 0.882
0.089 0.177 0.207
0.177 0.088 0.970
0.323 0.530 0.412
0.707 0.589 0.177
0.911 0.088 0.618
0.412 0.030 0.323
0.030 0.412 0.823
0.618 0.030 0.207
0.589 0.707 0.677
0.970 0.588 0.177
0.589 0.882 0.412
0.793 0.323 0.911
0.882 0.293 0.470
0.677 0.470 0.588
0.530 0.207 0.118
0.411 0.293 0.323
0.293 0.411 0.823
0.823 0.911 0.293
0.089 0.912 0.382
0.677 0.207 0.589
0.470 0.677 0.088
0.382 0.970 0.793
0.207 0.677 0.089
0.382 0.412 0.089
0.823 0.912 0.030
0.882 0.589 0.912
0.375 0.750 0.625
0.625 0.375 0.750
0.375 0.625 0.250
0.750 0.875 0.625
0.625 0.250 0.375
0.750 0.375 0.125
0.125 0.875 0.750
0.250 0.625 0.875
0.250 0.125 0.375
0.875 0.125 0.250
0.875 0.750 0.125
0.125 0.250 0.875
0.625 0.750 0.875
0.500 0.000 0.500
0.875 0.625 0.750
0.375 0.125 0.750
0.250 0.375 0.625
0.000 0.000 0.500
0.500 0.000 0.000
0.250 0.875 0.125
0.125 0.375 0.250
0.500 0.500 0.500
0.625 0.875 0.250
0.375 0.250 0.125
0.875 0.250 0.625
0.750 0.625 0.375
0.000 0.500 0.000
0.000 0.000 0.000
0.000 0.500 0.500
0.125 0.750 0.375
0.500 0.500 0.000
0.750 0.125 0.875
```